Entry from OQMD: InTcAgSe2S after structural relaxation (PBE).

a = 8.6032 Å, b = 8.6032 Å, c = 9.4399 Å
α = 90.00°, β = 90.00°, γ = 157.29°
With the nearest neighbours (Å) after each atom.
Element x y z (fractional)
Se 0.8902 0.1098 0.4653  2 Tc 2.53, 1 Ag 2.61, 1 In 2.81
Se 0.1098 0.8902 0.5347  2 Tc 2.53, 1 Ag 2.61, 1 In 2.81
Se 0.8902 0.1098 0.0347  2 Tc 2.53, 1 Ag 2.61, 1 In 2.81
Se 0.1098 0.8902 0.9653  2 Tc 2.53, 1 Ag 2.61, 1 In 2.81
Tc 0.5000 0.5000 0.5000  2 S 2.43, 4 Se 2.53
Tc 0.5000 0.5000 0.0000  2 S 2.43, 4 Se 2.53
In 0.1574 0.8426 0.2500  2 S 2.67, 2 Se 2.81, 2 Ag 2.85
In 0.8426 0.1574 0.7500  2 S 2.67, 2 Se 2.81, 2 Ag 2.85
S 0.4650 0.5350 0.7500  2 Tc 2.43, 2 In 2.67
S 0.5350 0.4650 0.2500  2 Tc 2.43, 2 In 2.67
Ag 0.2069 0.7931 0.7500  2 Se 2.61, 2 In 2.85
Ag 0.7931 0.2069 0.2500  2 Se 2.61, 2 In 2.85

Properties
crystal system	orthorhombic
uncorrected energy	-56.36	eV for the cell shown